Here is a geometry-optimized Ca3Fe2W2O12 structure from the Alexandria database. Energies are from PBE with a Hubbard U.

extended XYZ file:
```
19
Lattice="5.449 0.000 0.000 2.684 4.753 0.000 2.652 1.547 8.951" Properties=species:S:1:pos:R:3 pbc="T T T"
Ca 0.000 0.000 0.000
Ca 2.616 1.553 2.440
Ca 7.958 4.661 6.851
Fe 5.299 3.103 7.880
Fe 8.045 4.713 3.545
W 2.616 1.536 5.661
W 5.349 3.136 1.240
O 5.539 4.863 7.048
O 4.202 4.122 2.391
O 4.118 2.396 6.505
O 3.763 2.224 0.474
O 6.394 5.384 4.381
O 7.779 6.090 8.804
O 6.951 2.476 7.041
O 5.597 1.665 2.413
O 6.924 4.034 1.900
O 9.172 5.380 5.015
O 9.118 3.746 8.828
O 7.837 2.941 4.382
```

Values from the calculation:
E in eV per atom: -6.962
Crystal system: triclinic
Distance to the lowest polymorph of the same formula in meV per atom: 108
Space-group type: P1